The following is a PBE+U calculation of a relaxed Li4VCr3O8 crystal, from Alexandria via LeMat-Bulk.

a = 5.164 Å, b = 5.152 Å, c = 5.960 Å
α = 73.22°, β = 90.03°, γ = 80.41°
Positions (direct):
Li  0.000  0.997  0.003
Li  0.500  0.003  0.247
Li  0.005  0.999  0.498
Li  0.495  0.001  0.752
V  0.750  0.500  0.625
Cr  0.250  0.500  0.375
Cr  0.250  0.500  0.875
Cr  0.750  0.500  0.125
O  0.120  0.276  0.181
O  0.380  0.724  0.069
O  0.620  0.273  0.429
O  0.880  0.727  0.821
O  0.881  0.726  0.316
O  0.619  0.274  0.934
O  0.124  0.274  0.681
O  0.376  0.726  0.569

## Properties
total DFT energy (no corrections)	-6.903	eV per atom
DOS at the Fermi energy	0.000	states/eV/atom
crystal system	triclinic
SG	No. 2